No. 1
First-principles (PBE) data for an optimized crystal structure of DyTiZn2, as listed in Alexandria via LeMat-Bulk.

Cell lengths 6.7426, 6.7426, 6.7426 Å; angles 90.00, 90.00, 90.00 degrees
Closest atoms and distances in Å follow each position.
Space group Fm-3m (No. 225)
Inequivalent atoms, fractional coordinates:
Dy  0.0000  0.0000  0.0000  8 Zn 2.92
Ti  0.0000  0.0000  0.5000  8 Zn 2.92
Zn  0.2500  0.2500  0.2500  4 Dy 2.92, 4 Ti 2.92

## Properties
Total energy ... -62.704 eV per cell
Spin magnetization ... 0.251 μB per atom
Crystal system ... cubic
Polymorph energy (0 for the lowest one) ... 50 meV/atom

No. 2
First-principles (PBE) data for an optimized crystal structure of PmMgAlZn2, as listed in Alexandria via LeMat-Bulk.

Cell lengths 4.2909, 4.2909, 11.1540 Å; angles 90.00, 90.00, 90.00 degrees
Closest atoms and distances in Å follow each position.
Space group I-4m2 (No. 119)
Inequivalent atoms, fractional coordinates:
Pm  0.0000  0.0000  0.0000  8 Zn 3.27, 4 Mg 3.52, 4 Al 3.52
Mg  0.0000  0.5000  0.7500  4 Zn 2.66
Al  0.0000  0.5000  0.2500  4 Zn 2.66
Zn  0.0000  0.0000  0.3907  1 Zn 2.44, 2 Mg 2.66, 2 Al 2.66

## Properties
Total energy ... -28.509 eV per cell
Spin magnetization ... 0.000 μB per atom
Crystal system ... tetragonal